# 1
! Pm7SmHo12 (GGA-PBE, relaxed); values from VASP
&SYSTEM
  ibrav = 0, nat = 20, ntyp = 3
/
ATOMIC_SPECIES
Pm 145.00 Pm.upf
Sm 150.36 Sm.upf
Ho 164.93 Ho.upf
CELL_PARAMETERS angstrom
-5.6360 5.6360 5.6360
5.6360 -5.6360 5.6360
5.6360 5.6360 -5.6360
ATOMIC_POSITIONS angstrom
Pm 2.8180 2.8180 -2.8180
Pm 2.8180 -2.8180 2.8180
Pm 5.6360 0.0000 0.0000
Pm -2.8180 2.8180 2.8180
Pm 0.0000 5.6360 0.0000
Pm 0.0000 0.0000 5.6360
Pm 2.8180 2.8180 2.8180
Sm 0.0000 0.0000 0.0000
Ho 5.6360 2.8248 -2.8248
Ho 5.6360 -2.8248 2.8248
Ho 2.8248 5.6360 -2.8248
Ho 2.8112 2.8112 0.0000
Ho 2.8112 0.0000 2.8112
Ho 2.8248 -2.8248 5.6360
Ho 0.0000 2.8112 2.8112
Ho 5.6360 2.8248 2.8248
Ho -2.8248 5.6360 2.8248
Ho -2.8248 2.8248 5.6360
Ho 2.8248 5.6360 2.8248
Ho 2.8248 2.8248 5.6360
! - Distance to the lowest polymorph of the same formula: 0.415 eV/atom
! - SG: No. 229
! - DFT total energy: -4.00 eV/atom
! - E_form: 0.649 eV/atom

# 2
! Mn2InS4 (GGA-PBE, relaxed); values from VASP
&SYSTEM
  ibrav = 0, nat = 14, ntyp = 3
/
ATOMIC_SPECIES
Mn 54.94 Mn.upf
In 114.82 In.upf
S 32.06 S.upf
CELL_PARAMETERS angstrom
0.0000 5.2554 5.2656
5.2503 0.0000 5.2656
5.2503 5.2554 0.0000
ATOMIC_POSITIONS angstrom
Mn 0.0000 0.0000 0.0000
Mn 2.6252 2.6277 0.0000
Mn 2.6252 0.0000 2.6328
Mn 0.0000 2.6277 2.6328
In 3.9377 3.9416 3.9492
In 6.5629 6.5693 6.5820
S 8.0077 5.1217 5.1284
S 2.4929 2.4940 2.4956
S 5.3825 5.3891 2.4956
S 5.3825 2.4940 5.4028
S 5.1181 8.0168 5.1284
S 5.1181 5.1217 8.0356
S 8.0077 8.0168 8.0356
S 2.4929 5.3891 5.4028
! - Distance to the lowest polymorph of the same formula: 0.000 eV/atom
! - SG: No. 70
! - DFT total energy: -5.91 eV/atom
! - Uncorrected formation energy: -0.545 eV/atom

# 3
! Li3Mg2SeO6 (GGA-PBE, relaxed); values from VASP
&SYSTEM
  ibrav = 0, nat = 12, ntyp = 4
/
ATOMIC_SPECIES
Li 6.94 Li.upf
Mg 24.30 Mg.upf
Se 78.96 Se.upf
O 16.00 O.upf
CELL_PARAMETERS angstrom
2.5944 -4.5019 0.0000
2.5944 4.5019 0.0000
-1.7237 0.0000 4.9000
ATOMIC_POSITIONS angstrom
Li 0.0000 0.0000 0.0000
Li 2.5944 1.4055 0.0000
Li 2.5944 -1.4055 0.0000
Mg 1.7325 2.9962 2.4500
Mg 1.7325 -2.9962 2.4500
Se 1.7325 0.0000 2.4500
O 0.9233 1.4084 1.3254
O 0.1006 0.0000 3.5515
O 0.9233 -1.4084 1.3254
O 2.5417 1.4084 3.5745
O 3.3644 0.0000 1.3484
O 2.5417 -1.4084 3.5745
! - SG: No. 12
! - DFT total energy: -5.36 eV/atom
! - Uncorrected formation energy: -1.849 eV/atom

# 4
! La2GePd6Au (GGA-PBE, relaxed); values from VASP
&SYSTEM
  ibrav = 0, nat = 20, ntyp = 4
/
ATOMIC_SPECIES
La 138.91 La.upf
Ge 72.64 Ge.upf
Pd 106.42 Pd.upf
Au 196.97 Au.upf
CELL_PARAMETERS angstrom
5.4966 0.0000 0.0000
0.0000 8.8516 0.0000
0.0000 0.0000 8.7373
ATOMIC_POSITIONS angstrom
La 1.3742 0.0837 2.0405
La 1.3742 4.3421 2.0405
La 4.1225 4.5095 6.6968
La 4.1225 8.7679 6.6968
Ge 1.3742 2.2129 6.3871
Ge 4.1225 6.6387 2.3502
Pd 0.0217 6.6387 4.4108
Pd 0.0267 6.6387 0.3766
Pd 1.3742 8.8497 5.1763
Pd 1.3742 4.4278 5.1763
Pd 2.7217 6.6387 0.3766
Pd 2.7266 6.6387 4.4108
Pd 2.7701 2.2129 4.3266
Pd 2.7750 2.2129 8.3607
Pd 4.1225 0.0020 3.5610
Pd 4.1225 4.4239 3.5610
Pd 5.4700 2.2129 8.3607
Pd 5.4749 2.2129 4.3266
Au 1.3742 6.6387 6.8190
Au 4.1225 2.2129 1.9184
! - SG: No. 59
! - DFT total energy: -5.56 eV/atom
! - E_form: -0.672 eV/atom

# 5
! SrMnIr2 (GGA-PBE, relaxed); values from VASP
&SYSTEM
  ibrav = 0, nat = 4, ntyp = 3
/
ATOMIC_SPECIES
Sr 87.62 Sr.upf
Mn 54.94 Mn.upf
Ir 192.22 Ir.upf
CELL_PARAMETERS angstrom
-1.4824 2.4992 4.8058
1.4824 -2.4992 4.8058
1.4824 2.4992 -4.8058
ATOMIC_POSITIONS angstrom
Sr 0.0000 0.0000 0.0000
Mn 0.0000 0.0000 4.8058
Ir 1.4824 0.0000 2.6919
Ir 0.0000 2.4992 2.1139
! - Distance to the lowest polymorph of the same formula: 0.459 eV/atom
! - SG: No. 71
! - DFT total energy: -6.76 eV/atom
! - E_form: 0.384 eV/atom

# 6
! La2Ho3TmAs6 (GGA-PBE, relaxed); values from VASP
&SYSTEM
  ibrav = 0, nat = 12, ntyp = 4
/
ATOMIC_SPECIES
La 138.91 La.upf
Ho 164.93 Ho.upf
Tm 168.93 Tm.upf
As 74.92 As.upf
CELL_PARAMETERS angstrom
9.1263 -2.0961 0.0000
9.1263 2.0961 0.0000
-1.9259 0.0000 8.1555
ATOMIC_POSITIONS angstrom
La 2.3736 0.0000 2.6943
La 13.9530 0.0000 5.4612
Ho 1.4440 0.0000 6.8046
Ho 8.1633 0.0000 4.0778
Ho 14.8826 0.0000 1.3509
Tm 9.1263 0.0000 0.0000
As -1.3797 0.0000 6.1514
As 4.3208 0.0000 7.5678
As 5.3569 0.0000 3.3317
As 10.9697 0.0000 4.8238
As 12.0059 0.0000 0.5877
As 17.7064 0.0000 2.0041
! - SG: No. 12
! - DFT total energy: -6.18 eV/atom
! - E_form: -1.518 eV/atom

# 7
! Ca2ScCr (GGA-PBE, relaxed); values from VASP
&SYSTEM
  ibrav = 0, nat = 4, ntyp = 3
/
ATOMIC_SPECIES
Ca 40.08 Ca.upf
Sc 44.96 Sc.upf
Cr 52.00 Cr.upf
CELL_PARAMETERS angstrom
3.7442 -3.8577 0.0000
3.7442 3.8577 0.0000
-0.0254 0.0000 3.9505
ATOMIC_POSITIONS angstrom
Ca 1.8721 1.9289 0.0000
Ca 1.8721 -1.9289 0.0000
Sc -0.0127 0.0000 1.9753
Cr 3.7315 0.0000 1.9753
! - Distance to the lowest polymorph of the same formula: 0.213 eV/atom
! - SG: No. 12
! - DFT total energy: -4.48 eV/atom
! - E_form: 0.511 eV/atom

# 8
! Th4In3Sn (GGA-PBE, relaxed); values from VASP
&SYSTEM
  ibrav = 0, nat = 8, ntyp = 3
/
ATOMIC_SPECIES
Th 232.04 Th.upf
In 114.82 In.upf
Sn 118.71 Sn.upf
CELL_PARAMETERS angstrom
4.6199 0.0000 0.0000
0.0000 4.9818 0.0000
0.0000 0.0000 9.9444
ATOMIC_POSITIONS angstrom
Th 0.0000 0.0000 0.0000
Th 0.0000 0.0000 4.9722
Th 0.0000 2.4909 2.4617
Th 0.0000 2.4909 7.4827
In 2.3099 0.0000 2.5331
In 2.3099 0.0000 7.4113
In 2.3099 2.4909 4.9722
Sn 2.3099 2.4909 0.0000
! - SG: No. 47
! - DFT total energy: -5.58 eV/atom
! - E_form: -0.347 eV/atom

# 9
! PaBeHgO4 (GGA-PBE, relaxed); values from VASP
&SYSTEM
  ibrav = 0, nat = 14, ntyp = 4
/
ATOMIC_SPECIES
Pa 231.04 Pa.upf
Be 9.01 Be.upf
Hg 200.59 Hg.upf
O 16.00 O.upf
CELL_PARAMETERS angstrom
-2.8894 3.6575 4.3858
2.8894 -3.6575 4.3858
2.8894 3.6575 -4.3858
ATOMIC_POSITIONS angstrom
Pa 0.0000 0.0000 0.0000
Pa 0.0000 3.6575 0.0000
Be 2.8894 1.8288 1.3194
Be 0.0000 1.8288 3.0663
Hg 1.4447 1.8288 -2.1929
Hg 1.4447 -1.8288 2.1929
O 1.4743 1.8288 0.2380
O 4.3045 1.8288 0.2380
O 0.0000 0.4751 2.0423
O 2.8894 0.4751 2.3434
O 0.0000 3.1824 2.0423
O 2.8894 3.1824 2.3434
O -1.4151 1.8288 4.1478
O 1.4151 1.8288 4.1478
! - SG: No. 74
! - DFT total energy: -6.88 eV/atom
! - Uncorrected formation energy: -2.119 eV/atom

# 10
! NdErMgPb (GGA-PBE, relaxed); values from VASP
&SYSTEM
  ibrav = 0, nat = 4, ntyp = 4
/
ATOMIC_SPECIES
Nd 144.24 Nd.upf
Er 167.26 Er.upf
Mg 24.30 Mg.upf
Pb 207.20 Pb.upf
CELL_PARAMETERS angstrom
0.0000 3.8309 3.8309
3.8309 0.0000 3.8309
3.8309 3.8309 0.0000
ATOMIC_POSITIONS angstrom
Nd 0.0000 0.0000 0.0000
Er 3.8309 3.8309 3.8309
Mg 1.9155 1.9155 1.9155
Pb 5.7464 5.7464 5.7464
! - SG: No. 216
! - DFT total energy: -3.94 eV/atom
! - E_form: -0.283 eV/atom

# 11
! La3HfIn (GGA-PBE, relaxed); values from VASP
&SYSTEM
  ibrav = 0, nat = 5, ntyp = 3
/
ATOMIC_SPECIES
La 138.91 La.upf
Hf 178.49 Hf.upf
In 114.82 In.upf
CELL_PARAMETERS angstrom
5.7136 0.0000 0.0000
0.0000 5.7136 0.0000
0.0000 0.0000 5.7136
ATOMIC_POSITIONS angstrom
La 0.0000 0.0000 2.8568
La 0.0000 2.8568 0.0000
La 2.8568 0.0000 0.0000
Hf 0.0000 0.0000 0.0000
In 2.8568 2.8568 2.8568
! - Distance to the lowest polymorph of the same formula: 0.000 eV/atom
! - SG: No. 221
! - DFT total energy: -5.07 eV/atom
! - E_form: 0.422 eV/atom

# 12
! SmTm4 (GGA-PBE, relaxed); values from VASP
&SYSTEM
  ibrav = 0, nat = 10, ntyp = 2
/
ATOMIC_SPECIES
Sm 150.36 Sm.upf
Tm 168.93 Tm.upf
CELL_PARAMETERS angstrom
6.2439 0.0000 0.0000
0.0000 9.1712 0.0000
-2.5181 0.0000 5.5222
ATOMIC_POSITIONS angstrom
Sm -0.6295 1.0565 1.3806
Sm -1.8886 8.1147 4.1417
Tm 0.3495 4.0121 2.7554
Tm -0.9095 5.1591 5.5165
Tm -0.2566 1.6855 5.1465
Tm 1.0024 7.4857 2.3854
Tm 2.7234 1.6855 3.1369
Tm 3.9825 7.4857 0.3757
Tm 4.6354 4.0121 0.0058
Tm 3.3763 5.1591 2.7669
! - Distance to the lowest polymorph of the same formula: 0.193 eV/atom
! - SG: No. 13
! - DFT total energy: -4.32 eV/atom
! - E_form: 0.202 eV/atom

# 13
! CoCuP2 (GGA-PBE, relaxed); values from VASP
&SYSTEM
  ibrav = 0, nat = 4, ntyp = 3
/
ATOMIC_SPECIES
Co 58.93 Co.upf
Cu 63.55 Cu.upf
P 30.97 P.upf
CELL_PARAMETERS angstrom
-1.3038 1.7389 5.7110
1.3038 -1.7389 5.7110
1.3038 1.7389 -5.7110
ATOMIC_POSITIONS angstrom
Co 0.0000 0.0000 0.0000
Cu 1.3038 0.0000 2.5390
P 0.0000 0.0000 6.4647
P 0.0000 1.7389 3.8312
! - SG: No. 44
! - DFT total energy: -5.56 eV/atom
! - E_form: -0.053 eV/atom

# 14
! SrFe3Sn (GGA-PBE, relaxed); values from VASP
&SYSTEM
  ibrav = 0, nat = 5, ntyp = 3
/
ATOMIC_SPECIES
Sr 87.62 Sr.upf
Fe 55.84 Fe.upf
Sn 118.71 Sn.upf
CELL_PARAMETERS angstrom
4.9001 0.0000 0.0000
0.0000 4.9001 0.0000
0.0000 0.0000 4.9001
ATOMIC_POSITIONS angstrom
Sr 0.0000 0.0000 0.0000
Fe 0.0000 2.4500 2.4500
Fe 2.4500 0.0000 2.4500
Fe 2.4500 2.4500 0.0000
Sn 2.4500 2.4500 2.4500
! - Distance to the lowest polymorph of the same formula: 0.000 eV/atom
! - SG: No. 221
! - DFT total energy: -5.32 eV/atom
! - E_form: 0.893 eV/atom

# 15
! NaY2N (GGA-PBE, relaxed); values from VASP
&SYSTEM
  ibrav = 0, nat = 4, ntyp = 3
/
ATOMIC_SPECIES
Na 22.99 Na.upf
Y 88.91 Y.upf
N 14.01 N.upf
CELL_PARAMETERS angstrom
1.7452 1.0076 9.6459
-1.7452 1.0076 9.6459
0.0000 -2.0152 9.6459
ATOMIC_POSITIONS angstrom
Na 0.0000 0.0000 0.0000
Y 0.0000 0.0000 3.5045
Y 0.0000 0.0000 25.4332
N 0.0000 0.0000 14.4689
! - SG: No. 166
! - DFT total energy: -6.30 eV/atom
! - Uncorrected formation energy: -0.661 eV/atom

# 16
! CeCuSn2S5 (GGA-PBE, relaxed); values from VASP
&SYSTEM
  ibrav = 0, nat = 18, ntyp = 4
/
ATOMIC_SPECIES
Ce 140.12 Ce.upf
Cu 63.55 Cu.upf
Sn 118.71 Sn.upf
S 32.06 S.upf
CELL_PARAMETERS angstrom
1.9757 -8.7449 0.0000
1.9757 8.7449 0.0000
0.0000 0.0000 12.7031
ATOMIC_POSITIONS angstrom
Ce 1.9757 5.2324 6.3516
Ce 1.9757 -5.2324 0.0000
Cu 1.9757 1.2803 11.0573
Cu 1.9757 -1.2803 4.7057
Sn 1.9757 7.7204 1.2576
Sn 1.9757 6.2402 10.2547
Sn 1.9757 -6.2402 3.9032
Sn 1.9757 -7.7204 7.6091
S 1.9757 7.9170 5.8169
S 1.9757 3.6023 10.8243
S 1.9757 3.5080 1.8467
S 1.9757 2.4490 5.9115
S 1.9757 0.1165 9.0954
S 1.9757 -0.1165 2.7439
S 1.9757 -2.4490 12.2631
S 1.9757 -3.5080 8.1983
S 1.9757 -3.6023 4.4728
S 1.9757 -7.9170 12.1685
! - SG: No. 36
! - DFT total energy: -5.07 eV/atom
! - Uncorrected formation energy: -0.775 eV/atom

# 17
! BaBOs (GGA-PBE, relaxed); values from VASP
&SYSTEM
  ibrav = 0, nat = 6, ntyp = 3
/
ATOMIC_SPECIES
Ba 137.33 Ba.upf
B 10.81 B.upf
Os 190.23 Os.upf
CELL_PARAMETERS angstrom
4.0845 0.0000 0.0000
0.0000 4.0845 0.0000
0.0000 0.0000 9.6334
ATOMIC_POSITIONS angstrom
Ba 1.0211 1.0211 2.1287
Ba 3.0634 3.0634 7.5046
B 1.0211 1.0211 5.4298
B 3.0634 3.0634 4.2036
Os 1.0211 3.0634 4.8167
Os 3.0634 1.0211 4.8167
! - SG: No. 129
! - DFT total energy: -6.74 eV/atom
! - E_form: -0.132 eV/atom

# 18
! BaOs2Pd (GGA-PBE, relaxed); values from VASP
&SYSTEM
  ibrav = 0, nat = 8, ntyp = 3
/
ATOMIC_SPECIES
Ba 137.33 Ba.upf
Os 190.23 Os.upf
Pd 106.42 Pd.upf
CELL_PARAMETERS angstrom
-2.3998 2.3998 9.2311
2.3998 -2.3998 9.2311
2.3998 2.3998 -9.2311
ATOMIC_POSITIONS angstrom
Ba 0.0000 0.0000 0.0000
Ba 0.0000 2.3998 4.6156
Os 1.1999 2.3737 -2.3078
Os 2.4258 1.1999 2.3078
Os 1.1999 0.0260 6.9234
Os -0.0260 1.1999 11.5389
Pd 2.3998 0.0000 4.6156
Pd 0.0000 0.0000 9.2311
! - Distance to the lowest polymorph of the same formula: 0.000 eV/atom
! - SG: No. 122
! - DFT total energy: -6.58 eV/atom
! - E_form: 0.811 eV/atom

# 19
! NdDy2Ho3Er6 (GGA-PBE, relaxed); values from VASP
&SYSTEM
  ibrav = 0, nat = 12, ntyp = 4
/
ATOMIC_SPECIES
Nd 144.24 Nd.upf
Dy 162.50 Dy.upf
Ho 164.93 Ho.upf
Er 167.26 Er.upf
CELL_PARAMETERS angstrom
3.0577 -5.2903 0.0000
3.0577 5.2903 0.0000
-2.0307 0.0000 11.5151
ATOMIC_POSITIONS angstrom
Nd 0.0000 0.0000 0.0000
Dy 3.0577 1.7639 0.0000
Dy 3.0577 -1.7639 0.0000
Ho 2.0424 3.5247 5.7575
Ho 2.0424 0.0000 5.7575
Ho 2.0424 -3.5247 5.7575
Er 1.0249 1.7662 2.8996
Er 0.0078 0.0000 8.6175
Er 1.0249 -1.7662 2.8996
Er 3.0598 1.7662 8.6155
Er 4.0769 0.0000 2.8976
Er 3.0598 -1.7662 8.6155
! - SG: No. 12
! - DFT total energy: -4.57 eV/atom
! - E_form: 0.020 eV/atom

# 20
! LiDyPd3 (GGA-PBE, relaxed); values from VASP
&SYSTEM
  ibrav = 0, nat = 20, ntyp = 3
/
ATOMIC_SPECIES
Li 6.94 Li.upf
Dy 162.50 Dy.upf
Pd 106.42 Pd.upf
CELL_PARAMETERS angstrom
7.0129 0.0000 0.0000
0.0000 5.7141 0.0000
-4.2679 0.0000 8.5744
ATOMIC_POSITIONS angstrom
Li 1.0099 0.8272 0.1217
Li -1.1241 2.0299 4.4089
Li 3.8690 3.6842 4.1655
Li 1.7351 4.8869 8.4527
Dy -0.8035 3.6559 7.0697
Dy 1.3304 4.9152 2.7825
Dy 1.4146 0.7989 5.7920
Dy 3.5485 2.0582 1.5047
Pd -1.0935 3.5149 2.2099
Pd -3.2275 5.0562 6.4971
Pd 1.2099 3.4972 0.3516
Pd -0.9241 5.0739 4.6388
Pd -0.9421 0.7957 7.3550
Pd 1.1918 2.0613 3.0678
Pd 1.5532 3.6527 5.5067
Pd 3.6871 4.9184 1.2195
Pd 3.6691 0.6401 3.9356
Pd 1.5351 2.2169 8.2228
Pd 5.9724 0.6579 2.0773
Pd 3.8385 2.1992 6.3645
! - SG: No. 14
! - DFT total energy: -5.09 eV/atom
! - E_form: -0.670 eV/atom

# 21
! CePmSnHg (GGA-PBE, relaxed); values from VASP
&SYSTEM
  ibrav = 0, nat = 4, ntyp = 4
/
ATOMIC_SPECIES
Ce 140.12 Ce.upf
Pm 145.00 Pm.upf
Sn 118.71 Sn.upf
Hg 200.59 Hg.upf
CELL_PARAMETERS angstrom
0.0000 3.8391 3.8391
3.8391 0.0000 3.8391
3.8391 3.8391 0.0000
ATOMIC_POSITIONS angstrom
Ce 0.0000 0.0000 0.0000
Pm 3.8391 3.8391 3.8391
Sn 1.9196 1.9196 1.9196
Hg 5.7587 5.7587 5.7587
! - Distance to the lowest polymorph of the same formula: 0.000 eV/atom
! - SG: No. 216
! - DFT total energy: -4.26 eV/atom
! - E_form: -0.516 eV/atom

# 22
! NaLi2SnF8 (GGA-PBE, relaxed); values from VASP
&SYSTEM
  ibrav = 0, nat = 12, ntyp = 4
/
ATOMIC_SPECIES
Na 22.99 Na.upf
Li 6.94 Li.upf
Sn 118.71 Sn.upf
F 19.00 F.upf
CELL_PARAMETERS angstrom
4.7376 0.0000 0.0000
0.0000 6.7669 0.0000
-0.0148 0.0000 4.8434
ATOMIC_POSITIONS angstrom
Na 0.0000 0.0000 0.0000
Li 2.3614 1.8191 2.4217
Li 2.3614 4.9478 2.4217
Sn 0.0000 3.3834 0.0000
F 0.9974 1.9002 0.9069
F 0.9974 4.8667 0.9069
F 1.3385 3.3834 3.3570
F 1.5773 0.0000 3.0206
F 3.1455 0.0000 1.8228
F 3.3843 3.3834 1.4864
F 3.7254 1.9002 3.9365
F 3.7254 4.8667 3.9365
! - SG: No. 10
! - DFT total energy: -4.51 eV/atom
! - Uncorrected formation energy: -2.501 eV/atom